Record 1
VASP calculation (GGA-PBE) on crystalline AcPm2Au2 at its relaxed geometry.

Values from the calculation:
- E_form: -0.62 eV per atom
- Space-group type: No. 127
- Raw total energy: -0.34162 Ry/atom

```
10
Lattice="-3.010 -2.403 0.895 3.004 -0.794 7.973 -4.665 6.749 2.430" Properties=species:S:1:pos:R:3 pbc="T T T"
Pm -4.104 3.127 3.329
Au 1.290 0.362 5.311
Pm -1.232 -0.390 3.546
Pm -3.440 3.942 7.752
Ac -0.831 2.978 5.201
Au -0.306 3.541 8.482
Pm -0.568 0.425 7.969
Ac 0.000 0.000 0.000
Au -2.952 5.593 5.091
Au -1.356 2.414 1.921
```

***

Record 2
VASP calculation (GGA-PBE) on crystalline Ac2Pm2Au5 at its relaxed geometry.

Values from the calculation:
- E_form: -0.74 eV per atom
- Space-group type: No. 64
- Raw total energy: -0.33290 Ry/atom

```
18
Lattice="8.110 0.000 0.000 0.000 8.094 0.000 0.000 -4.047 7.932" Properties=species:S:1:pos:R:3 pbc="T T T"
Pm 2.755 1.301 0.000
Ac 0.000 4.047 4.805
Au 1.132 -1.145 5.908
Ac 4.055 4.047 3.128
Ac 0.000 0.000 3.128
Au 5.187 1.145 2.024
Pm 6.810 2.746 0.000
Ac 4.055 0.000 4.805
Au 6.978 1.145 5.908
Au 1.132 2.902 2.024
Au 2.923 2.902 5.908
Pm 5.355 6.793 0.000
Au 2.923 6.949 2.024
Au 5.187 -2.902 5.908
Au 4.055 4.047 0.000
Pm 1.300 5.348 0.000
Au 6.978 5.192 2.024
Au 0.000 0.000 0.000
```

***

Record 3
VASP calculation (GGA-PBE) on crystalline AcPm3Au2 at its relaxed geometry.

Values from the calculation:
- E_form: -0.47 eV per atom
- Space-group type: No. 12
- Distance to the lowest polymorph of the same formula: 0.074 eV per atom
- Raw total energy: -0.33989 Ry/atom

```
12
Lattice="-5.230 0.305 1.076 2.790 -8.704 2.737 1.451 7.362 4.960" Properties=species:S:1:pos:R:3 pbc="T T T"
Pm -1.975 -0.338 3.787
Ac 0.140 -1.788 1.185
Pm 0.986 -0.700 4.987
Au -2.250 -3.329 3.301
Pm 0.608 1.895 2.415
Pm 0.519 -4.515 3.800
Au -2.374 1.281 1.387
Au 1.385 -2.318 7.387
Pm -1.508 3.477 4.973
Au 1.260 2.292 5.472
Pm -1.597 -2.932 6.358
Ac -1.129 0.750 7.588
```

***

Record 4
VASP calculation (GGA-PBE) on crystalline Ac3PmAu3 at its relaxed geometry.

Values from the calculation:
- E_form: -0.61 eV per atom
- Space-group type: No. 12
- Raw total energy: -0.32723 Ry/atom

```
14
Lattice="-4.076 6.468 0.742 -5.204 -4.183 -3.796 -2.548 -2.676 6.912" Properties=species:S:1:pos:R:3 pbc="T T T"
Pm -2.677 0.225 0.137
Au -9.178 1.667 -1.631
Ac -5.548 3.258 3.400
Ac -4.916 -1.458 -2.635
Au -2.828 2.351 2.179
Au -8.471 2.255 3.807
Au -2.651 -2.058 5.489
Au -9.000 -2.741 1.678
Ac -6.280 -3.648 0.457
Ac -7.028 0.517 0.534
Pm -9.152 -0.616 3.721
Au -3.357 -2.645 0.050
Ac -4.801 -0.908 3.324
Ac -4.365 3.743 -0.419
```

***

Record 5
VASP calculation (GGA-PBE) on crystalline Ac3PmAu2 at its relaxed geometry.

Values from the calculation:
- E_form: -0.41 eV per atom
- Space-group type: No. 72
- Distance to the lowest polymorph of the same formula: 0.097 eV per atom
- Raw total energy: -0.31939 Ry/atom

```
12
Lattice="7.557 0.000 0.000 0.000 8.020 0.000 -3.778 -4.010 7.398" Properties=species:S:1:pos:R:3 pbc="T T T"
Ac 3.778 2.005 0.000
Au 1.527 0.000 5.335
Pm 0.000 4.010 0.000
Ac 3.778 6.015 0.000
Au 5.306 0.000 2.063
Ac 0.000 6.015 3.329
Au 2.251 4.010 2.063
Ac 3.778 -2.005 4.069
Au -1.527 4.010 5.335
Ac 3.778 2.005 4.069
Ac 0.000 2.005 3.329
Pm 0.000 0.000 0.000
```

***

Record 6
VASP calculation (GGA-PBE) on crystalline Ac5PmAu6 at its relaxed geometry.

Values from the calculation:
- E_form: -0.77 eV per atom
- Space-group type: No. 71
- Raw total energy: -0.33167 Ry/atom

```
12
Lattice="5.419 -0.343 0.876 -0.021 7.122 2.921 1.294 0.299 9.424" Properties=species:S:1:pos:R:3 pbc="T T T"
Au 1.741 3.012 7.707
Au 4.962 0.381 4.001
Ac -0.011 3.561 1.460
Ac 4.474 1.160 7.348
Au 2.693 5.283 2.674
Au 4.952 4.067 5.513
Au 1.730 6.698 9.219
Ac 2.234 2.364 4.398
Ac 2.219 5.919 5.873
Pm 0.000 0.000 0.000
Au 3.999 1.796 10.546
Ac 4.458 4.715 8.823
```

***

Record 7
VASP calculation (GGA-PBE) on crystalline AcPmRhAu at its relaxed geometry.

Values from the calculation:
- E_form: -0.65 eV per atom
- Space-group type: No. 216
- Distance to the lowest polymorph of the same formula: 0.094 eV per atom
- Raw total energy: -0.40552 Ry/atom

```
4
Lattice="-4.696 -0.898 2.175 -2.940 -4.021 -1.666 -0.707 -4.192 3.085" Properties=species:S:1:pos:R:3 pbc="T T T"
Pm -6.258 -6.833 2.695
Rh 0.000 0.000 0.000
Au -4.172 -4.556 1.797
Ac -2.086 -2.278 0.898
```

***

Record 8
VASP calculation (GGA-PBE) on crystalline AcPmRhAu at its relaxed geometry.

Values from the calculation:
- E_form: -0.74 eV per atom
- Space-group type: No. 38
- Distance to the lowest polymorph of the same formula: 0.000 eV per atom
- Raw total energy: -0.41243 Ry/atom

```
4
Lattice="4.053 0.000 0.000 0.000 4.764 0.000 -2.026 0.000 5.458" Properties=species:S:1:pos:R:3 pbc="T T T"
Ac 0.000 0.000 1.590
Au 2.026 2.382 0.876
Rh 0.000 0.000 4.451
Pm 2.026 2.382 4.000
```

***

Record 9
VASP calculation (GGA-PBE) on crystalline AcPmRuAu at its relaxed geometry.

Values from the calculation:
- E_form: -0.37 eV per atom
- Space-group type: No. 216
- Raw total energy: -0.42089 Ry/atom

```
4
Lattice="-2.761 -3.230 -3.038 2.278 -4.216 -2.078 -1.261 -4.767 1.724" Properties=species:S:1:pos:R:3 pbc="T T T"
Ru -1.307 -9.160 -2.544
Ac 0.000 0.000 0.000
Pm -0.872 -6.107 -1.696
Au -0.436 -3.053 -0.848
```

***

Record 10
VASP calculation (GGA-PBE) on crystalline AcPmSbAu at its relaxed geometry.

Values from the calculation:
- Space-group type: No. 216
- ΔE_f (raw): -17.89 kcal/mol of atoms
- Raw total energy: -0.35577 Ry/atom

```
4
Lattice="5.512 0.000 0.000 2.756 4.774 0.000 2.756 1.591 4.501" Properties=species:S:1:pos:R:3 pbc="T T T"
Ac 2.756 1.591 1.125
Sb 5.512 3.182 2.250
Pm 8.268 4.774 3.376
Au 0.000 0.000 0.000
```

***

Record 11
VASP calculation (GGA-PBE) on crystalline AcPmAuSe at its relaxed geometry.

Values from the calculation:
- Space-group type: No. 216
- ΔE_f (raw): -22.46 kcal/mol of atoms
- Raw total energy: -0.35862 Ry/atom

```
4
Lattice="-3.201 -3.769 -2.111 1.875 -3.290 -3.817 0.864 -5.189 1.110" Properties=species:S:1:pos:R:3 pbc="T T T"
Ac -0.231 -6.124 -2.409
Pm 0.000 0.000 0.000
Se -0.115 -3.062 -1.204
Au -0.346 -9.186 -3.613
```

***

Record 12
VASP calculation (GGA-PBE) on crystalline AcPmSi2Au2 at its relaxed geometry.

Values from the calculation:
- Space-group type: No. 164
- ΔE_f (raw): -18.60 kcal/mol of atoms
- Raw total energy: -0.38096 Ry/atom

```
6
Lattice="-3.098 2.940 -1.025 1.504 -2.764 -3.064 -6.022 -5.611 2.105" Properties=species:S:1:pos:R:3 pbc="T T T"
Ac 0.000 0.000 0.000
Au -5.967 -3.064 -0.165
Pm -3.011 -2.806 1.053
Si -3.155 -0.444 -1.149
Si -4.461 -4.992 -0.835
Au -1.649 -2.371 -1.818
```